[1]
Entry from the Alexandria database: an optimized crystal structure of Cu3MoS4 (PBE).

Properties
DOS(E_F), states/eV/cell: 5.7
E_tot, Ry per atom: -0.3883

a = 7.4501 Å, b = 6.4661 Å, c = 6.2088 Å
α = 90.00°, β = 90.00°, γ = 90.00°
Closest atoms and distances in Å follow each position.
Space group Pmn2_1 (No. 31)
Symmetry-distinct sites (fractional):
Cu 0.0000 0.1548 0.0000 [2 per cell]  4 S 2.30-2.32
Cu 0.2491 0.3344 0.4981 [4 per cell]  4 S 2.29-2.31
Mo 0.0000 0.8317 0.5109 [2 per cell]  4 S 2.27-2.28
S 0.0000 0.1644 0.6298 [2 per cell]  1 Mo 2.27, 3 Cu 2.30-2.31
S 0.0000 0.8237 0.1433 [2 per cell]  1 Mo 2.28, 3 Cu 2.31-2.32
S 0.2471 0.3327 0.1286 [4 per cell]  1 Mo 2.28, 3 Cu 2.29-2.31

[2]
Entry from the Alexandria database: an optimized crystal structure of DyAl6Ni (PBE).

Properties
DOS(E_F), states/eV/cell: 12.8
E_tot, Ry per atom: -0.3107
Formation energy from the elements, eV per formula unit: -1.0

a = 6.2366 Å, b = 6.2366 Å, c = 13.8685 Å
α = 90.00°, β = 90.00°, γ = 120.00°
Closest atoms and distances in Å follow each position.
Space group R-3m (No. 166, hexagonal axes)
Symmetry-distinct sites (fractional):
Dy 0.0000 0.0000 0.0000 [3 per cell]  18 Al 3.39-3.65
Al 0.0504 0.5252 0.9055 [18 per cell]  1 Ni 2.30
Ni 0.0000 0.0000 0.5000 [3 per cell]  6 Al 2.30

[3]
Entry from the Alexandria database: an optimized crystal structure of TaCrSnOs (PBE).

Properties
DOS(E_F), states/eV/cell: 6.1
E_tot, Ry per atom: -0.6598
Formation energy from the elements, eV per formula unit: 0.8

a = 2.9109 Å, b = 2.9691 Å, c = 15.7500 Å
α = 90.00°, β = 90.00°, γ = 90.00°
Closest atoms and distances in Å follow each position.
Space group Amm2 (No. 38)
Symmetry-distinct sites (fractional):
Ta 0.0000 0.0000 0.0000 [2 per cell]  4 Cr 2.78, 4 Ta 2.91-2.97, 4 Sn 3.07
Cr 0.5000 0.0000 0.6174 [2 per cell]  4 Os 2.48
Sn 0.5000 0.0000 0.3563 [2 per cell]  2 Os 2.82, 4 Sn 2.91-2.97, 4 Ta 3.07
Os 0.0000 0.0000 0.2031 [2 per cell]  4 Cr 2.48

[4]
Entry from the Alexandria database: an optimized crystal structure of LiMoIr (PBE).

Properties
DOS(E_F), states/eV/cell: 10.2
Distance to the lowest polymorph of the same formula, meV/atom: 463
E_tot, Ry per atom: -0.4974
Formation energy from the elements, eV per formula unit: 1.3

a = 5.5168 Å, b = 6.9968 Å, c = 5.7096 Å
α = 90.00°, β = 90.00°, γ = 90.00°
Closest atoms and distances in Å follow each position.
Space group Cmme (No. 67)
Symmetry-distinct sites (fractional):
Li 0.0000 0.2500 0.2024 [4 per cell]  4 Ir 2.80, 4 Mo 2.80-2.90
Mo 0.0000 0.2500 0.7100 [4 per cell]  4 Ir 2.53, 3 Li 2.80-2.81
Ir 0.2500 0.0000 0.5000 [4 per cell]  4 Mo 2.53, 2 Ir 2.76, 4 Li 2.80

[5]
Entry from the Alexandria database: an optimized crystal structure of PrNd4Os (PBE).

Properties
DOS(E_F), states/eV/cell: 34.5
E_tot, Ry per atom: -0.4283
Formation energy from the elements, eV per formula unit: 0.1

a = 17.6831 Å, b = 7.7254 Å, c = 6.1469 Å
α = 90.00°, β = 110.29°, γ = 90.00°
Closest atoms and distances in Å follow each position.
Space group C2/m (No. 12)
Symmetry-distinct sites (fractional):
Pr 0.1999 0.0000 0.1996 [4 per cell]  12 Nd 3.63-3.94
Nd 0.0000 0.2043 0.0000 [4 per cell]  2 Os 2.79
Nd 0.1126 0.2572 0.6123 [8 per cell]  2 Os 3.03
Nd 0.1662 0.5000 0.1662 [4 per cell]  2 Os 3.19
Os 0.0000 0.5000 0.2614 [4 per cell]  6 Nd 2.79-3.03, 1 Os 2.93

[6]
Entry from the Alexandria database: an optimized crystal structure of Li2PtBr (PBE).

Properties
DOS(E_F), states/eV/cell: 4.6
Distance to the lowest polymorph of the same formula, meV/atom: 200
E_tot, Ry per atom: -0.2438

a = 7.0719 Å, b = 7.0719 Å, c = 5.5976 Å
α = 90.00°, β = 90.00°, γ = 90.00°
Closest atoms and distances in Å follow each position.
Space group I-42d (No. 122)
Symmetry-distinct sites (fractional):
Li 0.2465 0.7500 0.1250 [8 per cell]  2 Br 2.58, 2 Pt 2.61, 2 Li 2.80
Pt 0.0000 0.0000 0.5000 [4 per cell]  4 Li 2.61, 2 Br 2.80
Br 0.0000 0.0000 0.0000 [4 per cell]  4 Li 2.58, 2 Pt 2.80

[7]
Entry from the Alexandria database: an optimized crystal structure of Pu2VSn (PBE).

Properties
DOS(E_F), states/eV/cell: 40.2
Distance to the lowest polymorph of the same formula, meV/atom: 420
E_tot, Ry per atom: -0.7392
Formation energy from the elements, eV per formula unit: 1.6

a = 3.1705 Å, b = 3.1705 Å, c = 32.8391 Å
α = 90.00°, β = 90.00°, γ = 120.00°
Closest atoms and distances in Å follow each position.
Space group R-3m (No. 166, hexagonal axes)
Symmetry-distinct sites (fractional):
Pu 0.0000 0.0000 0.0989 [6 per cell]  3 V 2.88, 6 Pu 3.17
V 0.0000 0.0000 0.5000 [3 per cell]  6 Pu 2.88, 6 V 3.17
Sn 0.0000 0.0000 0.0000 [3 per cell]  6 Sn 3.17, 2 Pu 3.25

[8]
Entry from the Alexandria database: an optimized crystal structure of UTl3Bi3Se8 (PBE).

Properties
DOS(E_F), states/eV/cell: 30.7
E_tot, Ry per atom: -0.3272

a = 8.5114 Å, b = 8.5114 Å, c = 23.2723 Å
α = 90.00°, β = 90.00°, γ = 120.00°
Closest atoms and distances in Å follow each position.
Space group R-3m (No. 166, hexagonal axes)
Symmetry-distinct sites (fractional):
U 0.0000 0.0000 0.0000 [3 per cell]  6 Se 2.86
Tl 0.0000 0.5000 0.5000 [9 per cell]  6 Se 3.30-3.31
Bi 0.0000 0.5000 0.0000 [9 per cell]  6 Se 2.97-2.98
Se 0.0000 0.0000 0.2614 [6 per cell]  3 Bi 2.97, 3 Tl 3.30
Se 0.0125 0.5062 0.7358 [18 per cell]  1 U 2.86, 2 Bi 2.98

[9]
Entry from the Alexandria database: an optimized crystal structure of ZrSiAu3 (PBE).

Properties
DOS(E_F), states/eV/cell: 9.0
Distance to the lowest polymorph of the same formula, meV/atom: 871
E_tot, Ry per atom: -0.2734

a = 5.2066 Å, b = 5.2066 Å, c = 5.2066 Å
α = 90.00°, β = 90.00°, γ = 90.00°
Closest atoms and distances in Å follow each position.
Space group Pm-3m (No. 221)
Symmetry-distinct sites (fractional):
Zr 0.0000 0.0000 0.0000 [1 per cell]  6 Au 2.60
Si 0.5000 0.5000 0.5000 [1 per cell]  12 Au 3.68
Au 0.0000 0.0000 0.5000 [3 per cell]  2 Zr 2.60

[10]
Entry from the Alexandria database: an optimized crystal structure of Pr2PdC (PBE).

Properties
DOS(E_F), states/eV/cell: 5.3
E_tot, Ry per atom: -0.4584
Formation energy from the elements, eV per formula unit: -1.0

a = 3.8440 Å, b = 3.8440 Å, c = 21.4601 Å
α = 90.00°, β = 90.00°, γ = 120.00°
Closest atoms and distances in Å follow each position.
Space group R-3m (No. 166, hexagonal axes)
Symmetry-distinct sites (fractional):
Pr 0.0000 0.0000 0.2350 [6 per cell]  3 C 2.66
Pd 0.0000 0.0000 0.0000 [3 per cell]  6 Pr 3.06
C 0.0000 0.0000 0.5000 [3 per cell]  6 Pr 2.66

[11]
Entry from the Alexandria database: an optimized crystal structure of Na3MgSb2Se6 (PBE).

Properties
DOS(E_F), states/eV/cell: 10.3
E_tot, Ry per atom: -0.2694

a = 7.0066 Å, b = 12.1344 Å, c = 7.4635 Å
α = 90.00°, β = 108.28°, γ = 90.00°
Closest atoms and distances in Å follow each position.
Space group C2/m (No. 12)
Symmetry-distinct sites (fractional):
Na 0.0000 0.0000 0.0000 [2 per cell]  6 Se 3.03-3.08
Na 0.0000 0.3248 0.0000 [4 per cell]  6 Se 3.03-3.08
Mg 0.0000 0.5000 0.5000 [2 per cell]  6 Se 2.77-2.79
Sb 0.0000 0.1657 0.5000 [4 per cell]  6 Se 2.85
Se 0.2362 0.3378 0.7233 [8 per cell]  1 Mg 2.77, 2 Sb 2.85, 3 Na 3.03
Se 0.2493 0.5000 0.2725 [4 per cell]  1 Mg 2.79, 2 Sb 2.85, 3 Na 3.08

[12]
Entry from the Alexandria database: an optimized crystal structure of Na2Sn2Pd (PBE).

Properties
DOS(E_F), states/eV/cell: 6.9
E_tot, Ry per atom: -0.2545
Formation energy from the elements, eV per formula unit: -1.5

a = 10.9121 Å, b = 4.8008 Å, c = 11.0561 Å
α = 90.00°, β = 116.43°, γ = 90.00°
Closest atoms and distances in Å follow each position.
Space group C2/m (No. 12)
Symmetry-distinct sites (fractional):
Na 0.0738 0.0000 0.3861 [4 per cell]  6 Sn 3.18-3.31, 1 Na 3.54
Na 0.1622 0.5000 0.1833 [4 per cell]  3 Pd 3.15-3.36, 7 Sn 3.37-3.53
Sn 0.1020 0.0000 0.9375 [4 per cell]  3 Pd 2.67-2.72
Sn 0.1334 0.5000 0.6114 [4 per cell]  1 Pd 2.65, 1 Sn 2.86
Pd 0.1419 0.5000 0.8545 [4 per cell]  4 Sn 2.65-2.72